Entry A
Here is a relaxed structure of HfB2Br from Alexandria via LeMat-Bulk. Energies are from PBE-GGA.

Cell and atoms, written as CIF:
```
data_HfB2Br
_cell_length_a 5.827
_cell_length_b 5.827
_cell_length_c 7.466
_cell_angle_alpha 90.00
_cell_angle_beta 90.00
_cell_angle_gamma 90.00
_space_group_name_H-M_alt 'I -4 2 d'
_space_group_IT_number 122
_space_group_name_Hall 'I -4 2bw'
loop_
_atom_site_label
_atom_site_fract_x
_atom_site_fract_y
_atom_site_fract_z
Hf1 0.000 0.000 0.000
B1 0.216 0.250 0.625
Br1 0.000 0.000 0.500
```

Entry B
Here is a relaxed structure of HfB2Br from Alexandria via LeMat-Bulk. Energies are from PBE-GGA.

Cell and atoms, written as CIF:
```
data_HfB2Br
_cell_length_a 6.172
_cell_length_b 6.172
_cell_length_c 6.172
_cell_angle_alpha 90.00
_cell_angle_beta 90.00
_cell_angle_gamma 90.00
_space_group_name_H-M_alt 'F m -3 m'
_space_group_IT_number 225
_space_group_name_Hall '-F 4 2 3'
loop_
_atom_site_label
_atom_site_fract_x
_atom_site_fract_y
_atom_site_fract_z
Hf1 0.000 0.000 0.000
B1 0.250 0.250 0.250
Br1 0.000 0.000 0.500
```

Stability order, top to bottom: entry A, entry B

Entry A
Here is a relaxed structure of HfBBr2 from Alexandria via LeMat-Bulk. Energies are from PBE-GGA.

Cell and atoms, written as CIF:
```
data_HfBBr2
_cell_length_a 7.367
_cell_length_b 7.367
_cell_length_c 6.153
_cell_angle_alpha 90.00
_cell_angle_beta 90.00
_cell_angle_gamma 90.00
_space_group_name_H-M_alt 'I -4 2 d'
_space_group_IT_number 122
_space_group_name_Hall 'I -4 2bw'
loop_
_atom_site_label
_atom_site_fract_x
_atom_site_fract_y
_atom_site_fract_z
Hf1 0.000 0.000 0.000
B1 0.000 0.000 0.500
Br1 0.248 0.250 0.125
```

Entry B
Here is a relaxed structure of HfBBr2 from Alexandria via LeMat-Bulk. Energies are from PBE-GGA.

Cell and atoms, written as CIF:
```
data_HfBBr2
_cell_length_a 3.4934
_cell_length_b 3.4934
_cell_length_c 25.5401
_cell_angle_alpha 90.00
_cell_angle_beta 90.00
_cell_angle_gamma 120.00
_space_group_name_H-M_alt 'R -3 m'
_space_group_IT_number 166
_space_group_name_Hall '-R 3 2"'
loop_
_atom_site_label
_atom_site_fract_x
_atom_site_fract_y
_atom_site_fract_z
Hf1 0.0000 0.0000 0.0000
B1 0.0000 0.0000 0.5000
Br1 0.0000 0.0000 0.1017
```

Stability order, top to bottom: entry B, entry A

Entry A
Here is a relaxed structure of HfBSe2Br from Alexandria via LeMat-Bulk. Energies are from PBE-GGA.

Cell and atoms, written as CIF:
```
data_HfBSe2Br
_cell_length_a 4.576
_cell_length_b 4.576
_cell_length_c 4.391
_cell_angle_alpha 90.00
_cell_angle_beta 90.00
_cell_angle_gamma 90.00
_space_group_name_H-M_alt 'P 4/m m m'
_space_group_IT_number 123
_space_group_name_Hall '-P 4 2'
loop_
_atom_site_label
_atom_site_fract_x
_atom_site_fract_y
_atom_site_fract_z
Hf1 0.000 0.000 0.000
B1 0.500 0.500 0.500
Se1 0.000 0.500 0.500
Br1 0.500 0.500 0.000
```

Entry B
Here is a relaxed structure of HfBSe2Br from Alexandria via LeMat-Bulk. Energies are from PBE-GGA.

Cell and atoms, written as CIF:
```
data_HfBSe2Br
_cell_length_a 5.186
_cell_length_b 5.186
_cell_length_c 5.250
_cell_angle_alpha 90.00
_cell_angle_beta 90.00
_cell_angle_gamma 90.00
_space_group_name_H-M_alt 'P 4/m m m'
_space_group_IT_number 123
_space_group_name_Hall '-P 4 2'
loop_
_atom_site_label
_atom_site_fract_x
_atom_site_fract_y
_atom_site_fract_z
Hf1 0.000 0.000 0.000
B1 0.500 0.500 0.500
Se1 0.000 0.500 0.000
Br1 0.000 0.000 0.500
```

Stability order, top to bottom: entry B, entry A

Entry A
Here is a relaxed structure of HgBBr2 from Alexandria via LeMat-Bulk. Energies are from PBE-GGA.

Cell and atoms, written as CIF:
```
data_HgBBr2
_cell_length_a 7.266
_cell_length_b 7.266
_cell_length_c 7.266
_cell_angle_alpha 90.00
_cell_angle_beta 90.00
_cell_angle_gamma 90.00
_space_group_name_H-M_alt 'F m -3 m'
_space_group_IT_number 225
_space_group_name_Hall '-F 4 2 3'
loop_
_atom_site_label
_atom_site_fract_x
_atom_site_fract_y
_atom_site_fract_z
Hg1 0.000 0.000 0.000
B1 0.000 0.000 0.500
Br1 0.250 0.250 0.250
```

Entry B
Here is a relaxed structure of HgBBr2 from Alexandria via LeMat-Bulk. Energies are from PBE-GGA.

Cell and atoms, written as CIF:
```
data_HgBBr2
_cell_length_a 7.155
_cell_length_b 7.155
_cell_length_c 10.105
_cell_angle_alpha 90.00
_cell_angle_beta 90.00
_cell_angle_gamma 90.00
_space_group_name_H-M_alt 'I -4 2 d'
_space_group_IT_number 122
_space_group_name_Hall 'I -4 2bw'
loop_
_atom_site_label
_atom_site_fract_x
_atom_site_fract_y
_atom_site_fract_z
Hg1 0.000 0.000 0.000
B1 0.000 0.000 0.500
Br1 0.001 0.750 0.625
```

Entry C
Here is a relaxed structure of HgBBr2 from Alexandria via LeMat-Bulk. Energies are from PBE-GGA.

Cell and atoms, written as CIF:
```
data_HgBBr2
_cell_length_a 3.4308
_cell_length_b 3.4308
_cell_length_c 33.0219
_cell_angle_alpha 90.00
_cell_angle_beta 90.00
_cell_angle_gamma 120.00
_space_group_name_H-M_alt 'R -3 m'
_space_group_IT_number 166
_space_group_name_Hall '-R 3 2"'
loop_
_atom_site_label
_atom_site_fract_x
_atom_site_fract_y
_atom_site_fract_z
Hg1 0.0000 0.0000 0.0000
B1 0.0000 0.0000 0.5000
Br1 0.0000 0.0000 0.1240
```

Stability order, top to bottom: entry B, entry C, entry A

Entry A
Here is a relaxed structure of HgB2Br from Alexandria via LeMat-Bulk. Energies are from PBE-GGA.

Cell and atoms, written as CIF:
```
data_HgB2Br
_cell_length_a 5.414
_cell_length_b 5.414
_cell_length_c 10.529
_cell_angle_alpha 90.00
_cell_angle_beta 90.00
_cell_angle_gamma 90.00
_space_group_name_H-M_alt 'I -4 2 d'
_space_group_IT_number 122
_space_group_name_Hall 'I -4 2bw'
loop_
_atom_site_label
_atom_site_fract_x
_atom_site_fract_y
_atom_site_fract_z
Hg1 0.000 0.000 0.000
B1 0.227 0.250 0.125
Br1 0.000 0.000 0.500
```

Entry B
Here is a relaxed structure of HgB2Br from Alexandria via LeMat-Bulk. Energies are from PBE-GGA.

Cell and atoms, written as CIF:
```
data_HgB2Br
_cell_length_a 6.577
_cell_length_b 6.577
_cell_length_c 6.577
_cell_angle_alpha 90.00
_cell_angle_beta 90.00
_cell_angle_gamma 90.00
_space_group_name_H-M_alt 'F m -3 m'
_space_group_IT_number 225
_space_group_name_Hall '-F 4 2 3'
loop_
_atom_site_label
_atom_site_fract_x
_atom_site_fract_y
_atom_site_fract_z
Hg1 0.000 0.000 0.000
B1 0.250 0.250 0.250
Br1 0.000 0.000 0.500
```

Stability order, top to bottom: entry A, entry B

Entry A
Here is a relaxed structure of Ho4BBr5 from Alexandria via LeMat-Bulk. Energies are from PBE-GGA.

Cell and atoms, written as CIF:
```
data_Ho4BBr5
_cell_length_a 19.833
_cell_length_b 3.890
_cell_length_c 8.090
_cell_angle_alpha 90.00
_cell_angle_beta 90.35
_cell_angle_gamma 90.00
_space_group_name_H-M_alt 'C 1 2/m 1'
_space_group_IT_number 12
loop_
_space_group_symop_operation_xyz
'x,y,z'
'-x,-y,-z'
'-x,y,-z'
'x,-y,z'
'x+1/2,y+1/2,z'
'-x+1/2,-y+1/2,-z'
'-x+1/2,y+1/2,-z'
'x+1/2,-y+1/2,z'
loop_
_atom_site_label
_atom_site_fract_x
_atom_site_fract_y
_atom_site_fract_z
Ho1 0.000 0.000 0.209
Ho2 0.123 0.500 0.002
B1 0.000 0.500 0.000
Br1 0.000 0.500 0.500
Br2 0.150 0.000 0.252
Br3 0.150 0.000 0.753
```

Entry B
Here is a relaxed structure of Ho4BBr5 from Alexandria via LeMat-Bulk. Energies are from PBE-GGA.

Cell and atoms, written as CIF:
```
data_Ho4BBr5
_cell_length_a 17.881
_cell_length_b 3.891
_cell_length_c 8.143
_cell_angle_alpha 90.00
_cell_angle_beta 102.81
_cell_angle_gamma 90.00
_space_group_name_H-M_alt 'C 1 2/m 1'
_space_group_IT_number 12
loop_
_space_group_symop_operation_xyz
'x,y,z'
'-x,-y,-z'
'-x,y,-z'
'x,-y,z'
'x+1/2,y+1/2,z'
'-x+1/2,-y+1/2,-z'
'-x+1/2,y+1/2,-z'
'x+1/2,-y+1/2,z'
loop_
_atom_site_label
_atom_site_fract_x
_atom_site_fract_y
_atom_site_fract_z
Ho1 0.001 0.000 0.293
Ho2 0.142 0.500 0.574
B1 0.000 0.500 0.500
Br1 0.000 0.500 0.000
Br2 0.165 0.000 0.837
Br3 0.172 0.000 0.333
```

Stability order, top to bottom: entry B, entry A